Density functional theory data (meta-GGA SCAN) for AuI2O2 at its PBEsol-relaxed geometry.

Cell: 5.5683 5.5683 3.8748 Å, 90.00 90.00 90.00°
Fractional coordinates of all 5 atoms:
Au 0.0000 0.0000 0.0000
I 0.0000 0.5000 0.0000
I 0.5000 0.0000 0.0000
O 0.0000 0.0000 0.5000
O 0.5000 0.5000 0.5000

VASP energy (eV for the cell shown): -151.4
E_form (uncorrected) (eV/atom): 0.73
SG: P4/mmm